one.
The following is a DFT calculation (GGA-PBE) of a geometry-optimized Dy2YHo3 structure.

The structure in POSCAR format:
```
Dy2YHo3
1.0
-1.016 2.727 2.159
-9.577 -5.355 2.259
9.400 -2.943 5.099
Dy Y Ho
4 2 6
Cartesian
-1.315 -4.372 4.903 Dy
0.123 -1.199 4.614 Dy
-0.439 -4.419 8.417 Dy
-0.754 -1.151 1.100 Dy
6.781 -1.304 4.838 Y
-7.973 -4.267 4.679 Y
3.484 -1.700 3.787 Ho
-5.520 -3.811 2.216 Ho
2.000 -3.978 5.966 Ho
-4.677 -3.871 5.730 Ho
-3.193 -1.592 3.551 Ho
4.328 -1.760 7.301 Ho
```

two.
The following is a DFT calculation (GGA-PBE) of a geometry-optimized Dy2YHo3 structure.

The structure in POSCAR format:
```
Dy2YHo3
1.0
-0.463 3.134 1.451
-9.945 -1.868 0.865
5.448 -5.222 8.830
Dy Y Ho
4 2 6
Cartesian
-1.927 -0.535 4.726 Dy
-3.031 -3.420 6.421 Dy
-0.645 -0.765 1.446 Dy
-4.314 -3.191 9.700 Dy
1.336 0.130 4.330 Y
-6.295 -4.085 6.817 Y
-5.295 -1.195 5.077 Ho
1.930 -2.019 9.159 Ho
-4.002 0.311 2.236 Ho
0.336 -2.761 6.070 Ho
-0.957 -4.267 8.910 Ho
-6.889 -1.937 1.988 Ho
```

Question: which arrangement is favored energetically? Ranking from most to least stable: one, two.

one.
The following is a DFT calculation (GGA-PBE) of a geometry-optimized DyY7Ho12 structure.

The structure in POSCAR format:
```
DyY7Ho12
1.0
-1.371 -4.817 -7.069
6.213 -5.111 3.213
-6.397 -3.581 4.616
Dy Y Ho
1 7 12
Cartesian
0.000 0.000 0.000 Dy
-3.520 -11.274 0.137 Y
-0.903 -2.055 -2.051 Y
-1.756 -1.742 1.767 Y
-0.777 -6.754 0.380 Y
0.202 -11.767 -1.008 Y
-0.652 -11.454 2.811 Y
1.965 -2.234 0.622 Y
-3.910 -7.625 -1.779 Ho
-0.258 -5.917 -3.397 Ho
-2.397 -4.524 -0.996 Ho
-0.873 -8.984 -1.743 Ho
-4.052 -5.188 1.813 Ho
-3.022 -8.556 1.479 Ho
1.467 -4.953 -0.719 Ho
2.497 -8.321 -1.053 Ho
-0.682 -4.524 2.503 Ho
0.842 -8.985 1.756 Ho
-1.296 -7.591 4.157 Ho
2.355 -5.884 2.539 Ho
```

two.
The following is a DFT calculation (GGA-PBE) of a geometry-optimized DyY7Ho12 structure.

The structure in POSCAR format:
```
DyY7Ho12
1.0
-5.499 3.776 -0.489
-4.200 -9.737 2.546
-4.221 -0.902 10.015
Dy Y Ho
1 7 12
Cartesian
0.000 0.000 0.000 Dy
-5.565 1.228 1.475 Y
-5.319 -8.315 5.206 Y
-6.937 -2.284 8.983 Y
-2.750 1.888 -0.244 Y
-6.984 -4.579 3.089 Y
-8.602 1.452 6.866 Y
-8.356 -8.091 10.597 Y
-6.273 -1.946 1.451 Ho
-7.375 -8.851 7.668 Ho
-3.311 -1.257 2.555 Ho
-7.934 -6.107 6.049 Ho
-8.569 -2.877 6.233 Ho
-10.294 -1.330 8.490 Ho
-3.627 -5.534 3.582 Ho
-5.352 -3.987 5.839 Ho
-5.987 -0.756 6.023 Ho
-10.610 -5.606 9.517 Ho
-6.546 1.988 4.404 Ho
-7.648 -4.917 10.621 Ho
```

Question: which arrangement is favored energetically? Ranking from most to least stable: one, two.

one.
The following is a DFT calculation (GGA-PBE) of a geometry-optimized Dy3Y6Ho structure.

The structure in POSCAR format:
```
Dy3Y6Ho
1.0
-2.822 -3.409 -4.412
-5.067 -5.836 7.749
-4.726 9.042 -3.962
Dy Y Ho
6 12 2
Cartesian
-9.438 -0.527 2.425 Dy
-10.774 1.043 -2.359 Dy
-5.059 3.007 0.283 Dy
-6.546 -1.991 0.670 Dy
-4.329 -1.067 -4.852 Dy
-2.993 -2.637 -0.068 Dy
-6.630 1.321 2.875 Y
-8.011 0.968 -0.394 Y
-8.236 4.268 -1.213 Y
-9.790 -3.650 1.473 Y
-6.200 -6.521 5.399 Y
-6.662 2.663 -3.570 Y
-5.402 -2.201 3.806 Y
-7.302 5.246 -7.412 Y
-3.444 2.700 -3.066 Y
-4.998 -5.219 -0.380 Y
-3.413 0.268 1.631 Y
-4.793 -0.085 -1.639 Y
-5.216 5.477 -2.212 Ho
-6.828 -4.990 2.480 Ho
```

two.
The following is a DFT calculation (GGA-PBE) of a geometry-optimized Dy3Y6Ho structure.

The structure in POSCAR format:
```
Dy3Y6Ho
1.0
6.384 0.000 0.000
0.000 10.038 -5.697
0.000 -2.220 11.327
Dy Y Ho
6 12 2
Cartesian
3.118 8.067 2.514 Dy
6.310 4.942 6.853 Dy
0.596 2.922 4.186 Dy
3.788 4.897 1.443 Dy
6.310 -0.248 3.115 Dy
3.118 2.876 -1.223 Dy
0.439 6.068 2.812 Y
3.631 4.591 4.863 Y
2.089 2.609 7.531 Y
5.281 7.969 0.087 Y
2.034 9.855 -5.443 Y
5.032 1.472 6.200 Y
1.840 6.346 -0.570 Y
5.226 -2.037 11.073 Y
2.089 -0.151 5.543 Y
5.281 5.209 -1.901 Y
0.439 3.227 0.766 Y
3.631 1.750 2.818 Y
0.106 -0.248 8.587 Ho
3.298 8.066 -2.958 Ho
```

Question: which arrangement is favored energetically? Ranking from most to least stable: two, one.

one.
The following is a DFT calculation (GGA-PBE) of a geometry-optimized Dy5YHo5 structure.

The structure in POSCAR format:
```
Dy5YHo5
1.0
0.659 4.352 5.376
-7.603 -5.519 -1.013
4.321 -1.198 6.801
Dy Y Ho
5 1 5
Cartesian
-3.634 -0.014 5.013 Dy
-1.574 -1.166 7.927 Dy
0.330 2.176 2.688 Dy
-1.048 -1.198 3.237 Dy
1.012 -2.350 6.151 Dy
0.000 0.000 0.000 Y
-0.151 0.990 5.769 Ho
1.458 0.176 8.629 Ho
2.161 -0.599 3.400 Ho
-4.080 -2.540 2.534 Ho
-2.471 -3.354 5.394 Ho
```

two.
The following is a DFT calculation (GGA-PBE) of a geometry-optimized Dy5YHo5 structure.

The structure in POSCAR format:
```
Dy5YHo5
1.0
-2.078 1.622 5.432
2.869 -5.268 -0.685
10.029 5.164 2.295
Dy Y Ho
5 1 5
Cartesian
1.140 0.133 3.752 Dy
8.031 3.682 5.329 Dy
4.416 -1.326 2.086 Dy
8.053 0.547 2.918 Dy
0.000 0.000 0.000 Dy
1.220 -2.971 1.354 Y
4.799 2.243 2.855 Ho
2.653 1.366 0.607 Ho
5.192 0.431 5.214 Ho
3.766 3.049 5.554 Ho
7.376 3.798 1.688 Ho
```

Question: which arrangement is favored energetically? Ranking from most to least stable: one, two.

one.
The following is a DFT calculation (GGA-PBE) of a geometry-optimized Dy7YHo3 structure.

The structure in POSCAR format:
```
Dy7YHo3
1.0
-0.865 -5.702 -0.160
3.964 2.130 7.085
-6.497 3.812 3.702
Dy Y Ho
7 1 3
Cartesian
-0.704 0.041 2.196 Dy
-0.193 2.709 9.244 Dy
0.972 -3.140 2.734 Dy
-4.369 3.380 7.893 Dy
-1.266 2.971 5.393 Dy
-3.204 -2.469 1.383 Dy
-2.694 0.200 8.431 Dy
-1.699 0.120 5.314 Y
1.800 2.478 6.385 Ho
-0.432 -2.851 -0.080 Ho
-4.333 3.464 4.402 Ho
```

two.
The following is a DFT calculation (GGA-PBE) of a geometry-optimized Dy7YHo3 structure.

The structure in POSCAR format:
```
Dy7YHo3
1.0
-0.049 8.879 -0.323
-9.010 -2.821 -2.772
-0.343 -3.260 4.428
Dy Y Ho
7 1 3
Cartesian
-7.844 2.824 1.472 Dy
-5.932 4.435 -0.621 Dy
-2.703 4.449 -0.362 Dy
-6.699 -1.650 1.695 Dy
-0.196 2.810 2.052 Dy
-3.471 -1.636 1.954 Dy
-1.558 -0.026 -0.139 Dy
-4.701 1.399 0.667 Y
-0.275 -0.396 3.115 Ho
-4.505 -1.411 -1.386 Ho
-9.127 3.195 -1.781 Ho
```

Question: which arrangement is favored energetically? Ranking from most to least stable: two, one.

one.
The following is a DFT calculation (GGA-PBE) of a geometry-optimized DyY5Ho3 structure.

The structure in POSCAR format:
```
DyY5Ho3
1.0
7.019 0.000 0.000
0.000 9.710 0.000
0.000 -4.855 8.409
Dy Y Ho
2 10 6
Cartesian
0.000 0.000 0.000 Dy
3.509 0.000 0.000 Dy
0.000 0.000 5.606 Y
3.509 4.855 2.803 Y
0.000 4.855 2.803 Y
3.509 0.000 5.606 Y
5.264 6.722 0.000 Y
5.264 1.494 2.588 Y
5.264 -3.361 5.821 Y
1.755 2.988 0.000 Y
1.755 3.361 5.821 Y
1.755 -1.494 2.588 Y
5.264 3.474 0.000 Ho
5.264 3.118 5.401 Ho
5.264 -1.737 3.008 Ho
1.755 6.236 0.000 Ho
1.755 1.737 3.008 Ho
1.755 -3.118 5.401 Ho
```

two.
The following is a DFT calculation (GGA-PBE) of a geometry-optimized DyY5Ho3 structure.

The structure in POSCAR format:
```
DyY5Ho3
1.0
-1.031 -5.310 -3.913
7.942 3.430 -1.051
7.310 -6.297 6.620
Dy Y Ho
2 10 6
Cartesian
4.771 -8.390 2.263 Dy
1.508 -3.218 0.444 Dy
5.278 -5.775 4.189 Y
11.189 -7.843 2.638 Y
4.212 -4.823 -2.465 Y
3.032 -0.334 -0.982 Y
5.955 -2.262 -0.705 Y
1.001 -5.832 -1.483 Y
7.419 -5.289 -1.110 Y
6.803 -2.889 2.765 Y
8.267 -5.916 2.360 Y
10.009 -3.354 4.120 Y
0.000 0.000 0.000 Ho
4.696 -5.274 0.829 Ho
3.655 -3.149 3.310 Ho
9.526 -2.903 0.827 Ho
8.241 -8.986 3.723 Ho
5.980 0.809 -2.068 Ho
```

Question: which arrangement is favored energetically? Ranking from most to least stable: one, two.